1.
# SmEr3 (PBE, optimized geometry)
# - Volume: 31.74 Å³/atom
# - Crystal system: orthorhombic
# - ΔE to the lowest computed polymorph: 0.01 eV/f.u.
# - Size of the total moment: 0.00 Bohr magnetons per cell
data_SmEr3
_chemical_formula_sum 'Sm2 Er6'
_space_group_name_H-M_alt 'I m m 2'
_space_group_IT_number 44
_cell_length_a 3.6164
_cell_length_b 11.2518
_cell_length_c 6.2401
_cell_angle_alpha 90.00
_cell_angle_beta 90.00
_cell_angle_gamma 90.00
loop_
_space_group_symop_operation_xyz
'x,y,z'
'-x,-y,z'
'-x,y,z'
'x,-y,z'
'x+1/2,y+1/2,z+1/2'
'-x+1/2,-y+1/2,z+1/2'
'-x+1/2,y+1/2,z+1/2'
'x+1/2,-y+1/2,z+1/2'
loop_
_atom_site_label
_atom_site_fract_x
_atom_site_fract_y
_atom_site_fract_z
_atom_site_occupancy
Sm1 0.0000 0.0000 0.0000 1
Er1 0.0000 0.2486 0.6648 1
Er2 0.0000 0.5000 0.9975 1

***

2.
# Sm5Er6 (PBE, optimized geometry)
# - Volume: 32.62 Å³/atom
# - Crystal system: monoclinic
# - ΔE to the lowest computed polymorph: 0.25 eV/f.u.
# - Size of the total moment: 0.01 Bohr magnetons per cell
data_Sm5Er6
_chemical_formula_sum 'Sm10 Er12'
_space_group_name_H-M_alt 'C 1 2/m 1'
_space_group_IT_number 12
_cell_length_a 9.0233
_cell_length_b 13.0651
_cell_length_c 6.3791
_cell_angle_alpha 90.00
_cell_angle_beta 107.41
_cell_angle_gamma 90.00
loop_
_space_group_symop_operation_xyz
'x,y,z'
'-x,-y,-z'
'-x,y,-z'
'x,-y,z'
'x+1/2,y+1/2,z'
'-x+1/2,-y+1/2,-z'
'-x+1/2,y+1/2,-z'
'x+1/2,-y+1/2,z'
loop_
_atom_site_label
_atom_site_fract_x
_atom_site_fract_y
_atom_site_fract_z
_atom_site_occupancy
Sm1 0.0000 0.0000 0.0000 1
Sm2 0.0000 0.1303 0.5000 1
Sm3 0.0000 0.2606 0.0000 1
Er1 0.1620 0.5000 0.1923 1
Er2 0.1763 0.3711 0.6739 1

***

3.
# Sm2Er (PBE, optimized geometry)
# - Volume: 34.21 Å³/atom
# - Crystal system: orthorhombic
# - ΔE to the lowest computed polymorph: 0.65 eV/f.u.
# - Size of the total moment: 0.01 Bohr magnetons per cell
data_Sm2Er
_chemical_formula_sum 'Sm32 Er16'
_space_group_name_H-M_alt 'F d d d'
_space_group_IT_number 70
_cell_length_a 5.9267
_cell_length_b 11.5733
_cell_length_c 23.9392
_cell_angle_alpha 90.00
_cell_angle_beta 90.00
_cell_angle_gamma 90.00
loop_
_space_group_symop_operation_xyz
'x,y,z'
'-x,-y,-z'
'-x+1/4,-y+1/4,z'
'x+1/4,y+1/4,-z'
'x,-y+1/4,-z+1/4'
'-x,y+1/4,z+1/4'
'-x+1/4,y,-z+1/4'
'x+1/4,-y,z+1/4'
'x,y+1/2,z+1/2'
'-x,-y+1/2,-z+1/2'
'-x+1/4,-y+3/4,z+1/2'
'x+1/4,y+3/4,-z+1/2'
'x,-y+3/4,-z+3/4'
'-x,y+3/4,z+3/4'
'-x+1/4,y+1/2,-z+3/4'
'x+1/4,-y+1/2,z+3/4'
'x+1/2,y,z+1/2'
'-x+1/2,-y,-z+1/2'
'-x+3/4,-y+1/4,z+1/2'
'x+3/4,y+1/4,-z+1/2'
'x+1/2,-y+1/4,-z+3/4'
'-x+1/2,y+1/4,z+3/4'
'-x+3/4,y,-z+3/4'
'x+3/4,-y,z+3/4'
'x+1/2,y+1/2,z'
'-x+1/2,-y+1/2,-z'
'-x+3/4,-y+3/4,z'
'x+3/4,y+3/4,-z'
'x+1/2,-y+3/4,-z+1/4'
'-x+1/2,y+3/4,z+1/4'
'-x+3/4,y+1/2,-z+1/4'
'x+3/4,-y+1/2,z+1/4'
loop_
_atom_site_label
_atom_site_fract_x
_atom_site_fract_y
_atom_site_fract_z
_atom_site_occupancy
Sm1 0.1250 0.1250 0.0560 1
Sm2 0.1250 0.2705 0.6250 1
Er1 0.1250 0.1250 0.4918 1

***

4.
# Sm6Er (PBE, optimized geometry)
# - Volume: 34.35 Å³/atom
# - Crystal system: tetragonal
# - ΔE to the lowest computed polymorph: 0.00 eV/f.u.
# - Size of the total moment: 0.00 Bohr magnetons per cell
data_Sm6Er
_chemical_formula_sum 'Sm12 Er2'
_space_group_name_H-M_alt 'P 4/n b m'
_space_group_IT_number 125
_cell_length_a 6.5482
_cell_length_b 6.5482
_cell_length_c 11.2157
_cell_angle_alpha 90.00
_cell_angle_beta 90.00
_cell_angle_gamma 90.00
loop_
_space_group_symop_operation_xyz
'x,y,z'
'-x,-y,-z'
'-y+1/2,x,z'
'y+1/2,-x,-z'
'-x+1/2,-y+1/2,z'
'x+1/2,y+1/2,-z'
'y,-x+1/2,z'
'-y,x+1/2,-z'
'x,-y+1/2,-z'
'-x,y+1/2,z'
'-y+1/2,-x+1/2,-z'
'y+1/2,x+1/2,z'
'-x+1/2,y,-z'
'x+1/2,-y,z'
'y,x,-z'
'-y,-x,z'
loop_
_atom_site_label
_atom_site_fract_x
_atom_site_fract_y
_atom_site_fract_z
_atom_site_occupancy
Sm1 0.0820 0.5820 0.1393 1
Sm2 0.2500 0.2500 0.3629 1
Er1 0.2500 0.7500 0.5000 1

***

5.
# SmEr6 (PBE, optimized geometry)
# - Volume: 37.35 Å³/atom
# - Crystal system: cubic
# - ΔE to the lowest computed polymorph: 8.60 eV/f.u.
# - Size of the total moment: 0.00 Bohr magnetons per cell
data_SmEr6
_chemical_formula_sum 'Sm2 Er12'
_space_group_name_H-M_alt 'I m -3 m'
_space_group_IT_number 229
_space_group_name_Hall '-I 4 2 3'
_cell_length_a 8.0562
_cell_length_b 8.0562
_cell_length_c 8.0562
_cell_angle_alpha 90.00
_cell_angle_beta 90.00
_cell_angle_gamma 90.00
loop_
_atom_site_label
_atom_site_fract_x
_atom_site_fract_y
_atom_site_fract_z
_atom_site_occupancy
Sm1 0.0000 0.0000 0.0000 1
Er1 0.0000 0.2500 0.5000 1

***

6.
# Sm5Er6 (PBE, optimized geometry)
# - Volume: 32.65 Å³/atom
# - Crystal system: orthorhombic
# - ΔE to the lowest computed polymorph: 0.00 eV/f.u.
# - Size of the total moment: 0.00 Bohr magnetons per cell
data_Sm5Er6
_chemical_formula_sum 'Sm10 Er12'
_space_group_name_H-M_alt 'I m m m'
_space_group_IT_number 71
_space_group_name_Hall '-I 2 2'
_cell_length_a 5.5471
_cell_length_b 8.0988
_cell_length_c 15.9868
_cell_angle_alpha 90.00
_cell_angle_beta 90.00
_cell_angle_gamma 90.00
loop_
_atom_site_label
_atom_site_fract_x
_atom_site_fract_y
_atom_site_fract_z
_atom_site_occupancy
Sm1 0.0000 0.0000 0.0000 1
Sm2 0.0000 0.0000 0.3010 1
Sm3 0.0000 0.5000 0.3376 1
Er1 0.0000 0.2062 0.5000 1
Er2 0.0000 0.2942 0.1369 1

***

7.
# Sm7Er (PBE, optimized geometry)
# - Volume: 33.22 Å³/atom
# - Crystal system: cubic
# - Size of the total moment: 0.00 Bohr magnetons per cell
# - DFT total energy: -4.688 eV/atom
data_Sm7Er
_chemical_formula_sum 'Sm28 Er4'
_space_group_name_H-M_alt 'F m -3 m'
_space_group_IT_number 225
_space_group_name_Hall '-F 4 2 3'
_cell_length_a 10.2054
_cell_length_b 10.2054
_cell_length_c 10.2054
_cell_angle_alpha 90.00
_cell_angle_beta 90.00
_cell_angle_gamma 90.00
loop_
_atom_site_label
_atom_site_fract_x
_atom_site_fract_y
_atom_site_fract_z
_atom_site_occupancy
Sm1 0.0000 0.0000 0.0000 1
Sm2 0.0000 0.2500 0.2500 1
Er1 0.0000 0.0000 0.5000 1

***

8.
# Sm4Er (PBE, optimized geometry)
# - Volume: 33.10 Å³/atom
# - Crystal system: tetragonal
# - ΔE to the lowest computed polymorph: 0.02 eV/f.u.
# - Size of the total moment: 0.00 Bohr magnetons per cell
data_Sm4Er
_chemical_formula_sum 'Sm8 Er2'
_space_group_name_H-M_alt 'I 4/m m m'
_space_group_IT_number 139
_space_group_name_Hall '-I 4 2'
_cell_length_a 3.6028
_cell_length_b 3.6028
_cell_length_c 25.4992
_cell_angle_alpha 90.00
_cell_angle_beta 90.00
_cell_angle_gamma 90.00
loop_
_atom_site_label
_atom_site_fract_x
_atom_site_fract_y
_atom_site_fract_z
_atom_site_occupancy
Sm1 0.0000 0.0000 0.0982 1
Sm2 0.0000 0.0000 0.3009 1
Er1 0.0000 0.0000 0.5000 1